Compound: RbBaNa
Source: the Alexandria database
Functional: PBE
Structure: relaxed

```
RbBaNa
1.0
7.739 -2.423 0.000
7.739 2.423 0.000
-6.087 0.000 10.040
Rb Ba Na
2 2 2
direct
0.154 0.154 0.057 Rb
0.846 0.846 0.943 Rb
0.399 0.399 0.624 Ba
0.601 0.601 0.376 Ba
0.128 0.128 0.663 Na
0.872 0.872 0.337 Na
```

As for the relative energy among the computed polymorphs: 36.2 meV/atom. The value obtained for the formation energy is 0.064 eV/atom. The total energy comes out at -1.34 eV per atom.

Compound: ZrTePb4
Source: the Alexandria database
Functional: PBE
Structure: relaxed

```
ZrTePb4
1.0
0.000 4.482 4.482
4.482 0.000 4.482
4.482 4.482 0.000
Zr Te Pb
1 1 4
direct
0.000 0.000 0.000 Zr
0.250 0.250 0.250 Te
0.123 0.626 0.626 Pb
0.626 0.123 0.626 Pb
0.626 0.626 0.123 Pb
0.626 0.626 0.626 Pb
```

For the uncorrected formation energy, the calculation gives 0.30 eV/atom. The total energy comes out at -4.12 eV per atom.

Compound: KLi2SeF
Source: the Alexandria database
Functional: PBE
Structure: relaxed

```
KLi2SeF
1.0
5.344 0.000 0.000
0.000 5.344 0.000
0.000 0.000 4.307
K Li Se F
1 2 1 1
direct
0.000 0.000 0.000 K
0.000 0.500 0.000 Li
0.500 0.000 0.000 Li
0.500 0.500 0.500 Se
0.000 0.000 0.500 F
```

For the uncorrected formation energy, the calculation gives -0.73 eV/atom. The total energy comes out at -2.79 eV per atom.

Compound: Hf4Ti2In5
Source: the Alexandria database
Functional: PBE
Structure: relaxed

```
Hf4Ti2In5
1.0
10.664 -1.561 0.000
10.664 1.561 0.000
-0.786 0.000 7.371
Hf Ti In
4 2 5
direct
0.039 0.039 0.352 Hf
0.275 0.275 0.163 Hf
0.725 0.725 0.837 Hf
0.961 0.961 0.648 Hf
0.414 0.414 0.320 Ti
0.586 0.586 0.680 Ti
0.132 0.132 0.051 In
0.180 0.180 0.466 In
0.500 0.500 0.000 In
0.820 0.820 0.534 In
0.868 0.868 0.949 In
```

The value obtained for the formation energy is 0.033 eV/atom. The total energy comes out at -6.27 eV per atom.

Compound: Ce2PuO
Source: the Alexandria database
Functional: PBE
Structure: relaxed

```
Ce2PuO
1.0
3.044 0.000 0.000
0.000 3.044 0.000
0.000 0.000 8.365
Ce Pu O
2 1 1
direct
0.000 0.000 0.189 Ce
0.000 0.000 0.811 Ce
0.500 0.500 0.500 Pu
0.500 0.500 0.000 O
```

For the uncorrected formation energy, the calculation gives -0.91 eV/atom. The total energy comes out at -8.70 eV per atom.

Compound: Li3NpS4
Source: the Alexandria database
Functional: PBE
Structure: relaxed

```
Li3NpS4
1.0
6.466 0.000 0.000
0.000 7.520 0.000
-2.307 0.000 6.191
Li Np S
6 2 8
direct
0.000 0.110 0.250 Li
0.000 0.362 0.750 Li
0.000 0.638 0.250 Li
0.000 0.890 0.750 Li
0.500 0.118 0.750 Li
0.500 0.882 0.250 Li
0.500 0.360 0.250 Np
0.500 0.640 0.750 Np
0.248 0.128 0.012 S
0.248 0.872 0.512 S
0.261 0.385 0.500 S
0.261 0.615 0.000 S
0.739 0.385 0.000 S
0.739 0.615 0.500 S
0.752 0.128 0.488 S
0.752 0.872 0.988 S
```

For the uncorrected formation energy, the calculation gives -1.26 eV/atom. As for the relative energy among the computed polymorphs: 0.0 meV/atom. The total energy comes out at -5.66 eV per atom.

Compound: AgRhBr2
Source: the Alexandria database
Functional: PBE
Structure: relaxed

```
AgRhBr2
1.0
0.000 3.462 3.462
3.462 0.000 3.462
3.462 3.462 0.000
Ag Rh Br
1 1 2
direct
0.000 0.000 0.000 Ag
0.500 0.500 0.500 Rh
0.250 0.250 0.250 Br
0.750 0.750 0.750 Br
```

For the uncorrected formation energy, the calculation gives 0.37 eV/atom. As for the relative energy among the computed polymorphs: 449.0 meV/atom. The total energy comes out at -3.02 eV per atom.

Compound: Mg3Ga9Pd2
Source: the Alexandria database
Functional: PBE
Structure: relaxed

```
Mg3Ga9Pd2
1.0
-2.188 4.850 5.853
2.188 -4.850 5.853
2.188 4.850 -5.853
Mg Ga Pd
3 9 2
direct
0.000 0.000 0.000 Mg
0.292 0.292 0.000 Mg
0.708 0.708 0.000 Mg
0.009 0.641 0.368 Ga
0.141 0.858 0.283 Ga
0.273 0.641 0.632 Ga
0.425 0.142 0.283 Ga
0.500 0.000 0.500 Ga
0.575 0.858 0.717 Ga
0.727 0.359 0.368 Ga
0.859 0.142 0.717 Ga
0.991 0.359 0.632 Ga
0.346 0.500 0.846 Pd
0.654 0.500 0.154 Pd
```

The value obtained for the formation energy is -0.280 eV/atom. The total energy comes out at -3.31 eV per atom.

Compound: CaCdInPb
Source: the Alexandria database
Functional: PBE
Structure: relaxed

```
CaCdInPb
1.0
4.607 0.000 0.000
0.000 4.712 0.000
0.000 0.000 4.975
Ca Cd In Pb
1 1 1 1
direct
0.000 0.000 0.000 Ca
0.000 0.500 0.500 Cd
0.500 0.000 0.500 In
0.500 0.500 0.000 Pb
```

The value obtained for the formation energy is -0.297 eV/atom. The total energy comes out at -2.64 eV per atom.

Compound: Ta2PAu
Source: the Alexandria database
Functional: PBE
Structure: relaxed

```
Ta2PAu
1.0
3.434 0.000 0.000
0.000 3.520 0.000
-1.655 0.000 5.649
Ta P Au
2 1 1
direct
0.000 0.000 0.000 Ta
0.327 0.500 0.715 Ta
0.749 0.000 0.556 P
0.623 0.500 0.248 Au
```

The value obtained for the formation energy is -0.211 eV/atom. The total energy comes out at -8.31 eV per atom.

Compound: LiPr2IrRh6
Source: the Alexandria database
Functional: PBE
Structure: relaxed

```
LiPr2IrRh6
1.0
5.934 -2.650 0.000
5.934 2.650 0.000
-4.437 0.000 5.749
Li Pr Ir Rh
1 2 1 6
direct
0.000 0.000 0.000 Li
0.499 0.499 0.252 Pr
0.501 0.501 0.748 Pr
0.000 0.000 0.500 Ir
0.009 0.509 0.320 Rh
0.197 0.197 0.953 Rh
0.491 0.991 0.680 Rh
0.509 0.009 0.320 Rh
0.803 0.803 0.047 Rh
0.991 0.491 0.680 Rh
```

The value obtained for the formation energy is -0.276 eV/atom. The total energy comes out at -6.72 eV per atom.

Compound: PrZnPd2
Source: the Alexandria database
Functional: PBE
Structure: relaxed

```
PrZnPd2
1.0
4.656 0.000 0.000
0.000 4.656 0.000
0.000 0.000 3.626
Pr Zn Pd
1 1 2
direct
0.000 0.000 0.000 Pr
0.500 0.500 0.000 Zn
0.000 0.500 0.500 Pd
0.500 0.000 0.500 Pd
```

The value obtained for the formation energy is -0.489 eV/atom. The total energy comes out at -4.60 eV per atom.